# 1
Ce3Ga2Cu2 PBE relaxed; VASP energy = -4.903 eV per atom; energy of formation = -324 meV/atom; total moment = 0.37 μB per atom
1.0
-1.754 2.215 9.749
1.754 -2.215 9.749
1.754 2.215 -9.749
Ce Ga Cu
3 2 2
Cartesian
0.000 0.000 0.000
1.754 0.000 5.940
0.000 2.215 3.809
1.754 0.000 2.636
0.000 2.215 7.112
0.000 0.000 8.479
0.000 0.000 11.018


# 2
Ce2Ga2Cu15 PBE relaxed; VASP energy = -4.281 eV per atom; energy of formation = -104 meV/atom; total moment = 0.08 μB per atom
1.0
4.333 2.501 4.229
-4.333 2.501 4.229
0.000 -5.003 4.229
Ce Ga Cu
2 2 15
Cartesian
0.000 0.000 1.903
0.000 0.000 10.783
0.000 0.000 5.038
0.000 0.000 7.649
-2.166 -1.251 4.229
0.000 -2.500 4.054
-2.165 1.250 4.054
-1.297 -2.246 6.343
-2.593 0.000 6.343
-2.165 -1.250 8.632
-2.166 1.251 8.458
1.297 -2.246 6.343
0.000 2.501 4.229
-1.297 2.246 6.343
2.165 1.250 4.054
2.593 0.000 6.343
1.297 2.246 6.343
2.165 -1.250 8.632
0.000 2.500 8.632


# 3
Ce3Ga3Cu PBE relaxed; VASP energy = -4.861 eV per atom; energy of formation = -436 meV/atom; total moment = 0.35 μB per atom
1.0
5.347 -2.222 0.000
5.347 2.222 0.000
-5.032 0.000 13.531
Ce Ga Cu
6 6 2
Cartesian
-1.451 0.000 5.210
-3.551 0.000 12.441
1.544 0.000 3.054
4.117 0.000 10.476
9.212 0.000 1.089
7.112 0.000 8.321
1.612 0.000 6.179
-0.484 0.000 12.513
1.003 0.000 10.327
4.658 0.000 3.204
6.145 0.000 1.017
4.049 0.000 7.351
-0.388 0.000 8.176
6.049 0.000 5.354


# 4
Ce3Ga8Cu3 PBE relaxed; VASP energy = -4.302 eV per atom; energy of formation = -423 meV/atom; E above lowest polymorph = 0.08 kcal/mol of atoms; total moment = 0.11 μB per atom
1.0
7.926 -2.204 0.000
7.926 2.204 0.000
-5.183 0.000 7.482
Ce Ga Cu
3 8 3
Cartesian
0.000 0.000 0.000
3.142 0.000 2.244
7.527 0.000 5.238
-2.161 0.000 6.417
0.135 0.000 3.209
0.484 0.000 7.275
4.332 0.000 5.109
6.338 0.000 2.373
10.185 0.000 0.207
10.535 0.000 4.273
12.830 0.000 1.065
-2.591 0.000 3.741
1.837 0.000 5.236
8.832 0.000 2.245